## BaSr3Hg (PBE-GGA)

Data for a geometry-optimized BaSr3Hg structure.

- ΔH_f (0 K): -0.22 eV per atom
- ΔE to the lowest computed polymorph: 0 meV/atom
- Spin magnetization: 0.0 μB/cell

```
data_BaSr3Hg
_chemical_formula_sum 'Ba4 Sr12 Hg4'
_cell_length_a 14.9004
_cell_length_b 4.3547
_cell_length_c 15.7949
_cell_angle_alpha 90.00
_cell_angle_beta 109.40
_cell_angle_gamma 90.00
_symmetry_space_group_name_H-M 'C 1 m 1'
_symmetry_Int_Tables_number 8
_symmetry_space_group_name_Hall 'C -2y'
loop_
_atom_site_label
_atom_site_type_symbol
_atom_site_fract_x
_atom_site_fract_y
_atom_site_fract_z
Ba1 Ba 0.0000 0.0000 0.0000
Ba2 Ba 0.1371 0.0000 0.2831
Sr1 Sr 0.0317 0.0000 0.6855
Sr2 Sr 0.1800 0.5000 0.5327
Sr3 Sr 0.2015 0.5000 0.9212
Sr4 Sr 0.3348 0.0000 0.7610
Sr5 Sr 0.3595 0.0000 0.1628
Sr6 Sr 0.4069 0.5000 0.4111
Hg1 Hg 0.1787 0.5000 0.1278
Hg2 Hg 0.3635 0.0000 0.5556
```

=====

## Ba2SrHg8 (PBE-GGA)

Data for a geometry-optimized Ba2SrHg8 structure.

- ΔH_f (0 K): -0.40 eV per atom
- Spin magnetization: 0.0 μB/cell

```
data_Ba2SrHg8
_chemical_formula_sum 'Ba4 Sr2 Hg16'
_cell_length_a 9.1086
_cell_length_b 17.2154
_cell_length_c 5.5010
_cell_angle_alpha 90.00
_cell_angle_beta 125.73
_cell_angle_gamma 90.00
_symmetry_space_group_name_H-M 'C 1 2/m 1'
_symmetry_Int_Tables_number 12
_symmetry_space_group_name_Hall '-C 2y'
loop_
_atom_site_label
_atom_site_type_symbol
_atom_site_fract_x
_atom_site_fract_y
_atom_site_fract_z
Ba1 Ba 0.0000 0.1823 0.0000
Sr1 Sr 0.0000 0.5000 0.5000
Hg1 Hg 0.0000 0.3053 0.5000
Hg2 Hg 0.0921 0.0000 0.8315
Hg3 Hg 0.2121 0.3684 0.2316
```

=====

## Ba2SrHg (PBE-GGA)

Data for a geometry-optimized Ba2SrHg structure.

- ΔH_f (0 K): -0.17 eV per atom
- Spin magnetization: 1.8 μB/cell

```
data_Ba2SrHg
_chemical_formula_sum 'Ba6 Sr3 Hg3'
_cell_length_a 4.4532
_cell_length_b 4.4532
_cell_length_c 36.3184
_cell_angle_alpha 90.00
_cell_angle_beta 90.00
_cell_angle_gamma 120.00
_symmetry_space_group_name_H-M 'R -3 m'
_symmetry_Int_Tables_number 166
_symmetry_space_group_name_Hall '-R 3 2"'
loop_
_atom_site_label
_atom_site_type_symbol
_atom_site_fract_x
_atom_site_fract_y
_atom_site_fract_z
Ba1 Ba 0.0000 0.0000 0.2322
Sr1 Sr 0.0000 0.0000 0.0000
Hg1 Hg 0.0000 0.0000 0.5000
```

=====

## Ba3Sr4Hg4 (PBE-GGA)

Data for a geometry-optimized Ba3Sr4Hg4 structure.

- ΔH_f (0 K): -0.37 eV per atom
- Spin magnetization: 0.0 μB/cell

```
data_Ba3Sr4Hg4
_chemical_formula_sum 'Ba6 Sr8 Hg8'
_cell_length_a 4.4272
_cell_length_b 10.4143
_cell_length_c 19.8109
_cell_angle_alpha 90.00
_cell_angle_beta 90.00
_cell_angle_gamma 90.00
_symmetry_space_group_name_H-M 'I m m m'
_symmetry_Int_Tables_number 71
_symmetry_space_group_name_Hall '-I 2 2'
loop_
_atom_site_label
_atom_site_type_symbol
_atom_site_fract_x
_atom_site_fract_y
_atom_site_fract_z
Ba1 Ba 0.0000 0.0000 0.0000
Ba2 Ba 0.0000 0.5000 0.0984
Sr1 Sr 0.0000 0.3136 0.3308
Hg1 Hg 0.0000 0.0000 0.2564
Hg2 Hg 0.0000 0.2126 0.5000
```

=====

## Ba6Sr3Hg (PBE-GGA)

Data for a geometry-optimized Ba6Sr3Hg structure.

- ΔH_f (0 K): -0.07 eV per atom
- Spin magnetization: 0.0 μB/cell

```
data_Ba6Sr3Hg
_chemical_formula_sum 'Ba12 Sr6 Hg2'
_cell_length_a 10.6897
_cell_length_b 6.7815
_cell_length_c 16.5795
_cell_angle_alpha 90.00
_cell_angle_beta 106.55
_cell_angle_gamma 90.00
_symmetry_space_group_name_H-M 'P 1 21/m 1'
_symmetry_Int_Tables_number 11
_symmetry_space_group_name_Hall '-P 2yb'
loop_
_atom_site_label
_atom_site_type_symbol
_atom_site_fract_x
_atom_site_fract_y
_atom_site_fract_z
Ba1 Ba 0.0070 0.2500 0.0767
Ba2 Ba 0.0280 0.2500 0.3807
Ba3 Ba 0.3139 0.2500 0.6484
Ba4 Ba 0.3250 0.7500 0.8226
Ba5 Ba 0.3306 0.2500 0.9753
Ba6 Ba 0.3456 0.7500 0.4662
Sr1 Sr 0.0195 0.7500 0.2251
Sr2 Sr 0.3454 0.7500 0.1292
Sr3 Sr 0.3587 0.2500 0.2840
Hg1 Hg 0.0180 0.7500 0.4266
```

=====

## Ba2Sr6Hg (PBE-GGA)

Data for a geometry-optimized Ba2Sr6Hg structure.

- ΔH_f (0 K): -0.04 eV per atom
- ΔE to the lowest computed polymorph: 36 meV/atom
- Spin magnetization: 0.0 μB/cell

```
data_Ba2Sr6Hg
_chemical_formula_sum 'Ba4 Sr12 Hg2'
_cell_length_a 18.6250
_cell_length_b 12.1817
_cell_length_c 4.2676
_cell_angle_alpha 90.00
_cell_angle_beta 103.23
_cell_angle_gamma 90.00
_symmetry_space_group_name_H-M 'C 1 2/m 1'
_symmetry_Int_Tables_number 12
_symmetry_space_group_name_Hall '-C 2y'
loop_
_atom_site_label
_atom_site_type_symbol
_atom_site_fract_x
_atom_site_fract_y
_atom_site_fract_z
Ba1 Ba 0.1286 0.0000 0.1264
Sr1 Sr 0.0000 0.2702 0.5000
Sr2 Sr 0.1787 0.3455 0.1792
Hg1 Hg 0.0000 0.5000 0.0000
```

=====

## Ba2SrHg (PBE-GGA)

Data for a geometry-optimized Ba2SrHg structure.

- ΔH_f (0 K): -0.12 eV per atom
- Spin magnetization: 0.0 μB/cell

```
data_Ba2SrHg
_chemical_formula_sum 'Ba4 Sr2 Hg2'
_cell_length_a 8.8161
_cell_length_b 8.8486
_cell_length_c 4.6690
_cell_angle_alpha 90.00
_cell_angle_beta 90.00
_cell_angle_gamma 90.00
_symmetry_space_group_name_H-M 'C m m m'
_symmetry_Int_Tables_number 65
_symmetry_space_group_name_Hall '-C 2 2'
loop_
_atom_site_label
_atom_site_type_symbol
_atom_site_fract_x
_atom_site_fract_y
_atom_site_fract_z
Ba1 Ba 0.2500 0.2500 0.0000
Sr1 Sr 0.0000 0.0000 0.5000
Hg1 Hg 0.0000 0.5000 0.5000
```

=====

## BaSr4Hg3 (PBE-GGA)

Data for a geometry-optimized BaSr4Hg3 structure.

- ΔH_f (0 K): -0.31 eV per atom
- Spin magnetization: 0.0 μB/cell

```
data_BaSr4Hg3
_chemical_formula_sum 'Ba1 Sr4 Hg3'
_cell_length_a 5.5745
_cell_length_b 5.5745
_cell_length_c 10.6102
_cell_angle_alpha 90.00
_cell_angle_beta 90.00
_cell_angle_gamma 90.00
_symmetry_space_group_name_H-M 'P 4/m m m'
_symmetry_Int_Tables_number 123
_symmetry_space_group_name_Hall '-P 4 2'
loop_
_atom_site_label
_atom_site_type_symbol
_atom_site_fract_x
_atom_site_fract_y
_atom_site_fract_z
Ba1 Ba 0.0000 0.0000 0.0000
Sr1 Sr 0.0000 0.5000 0.3154
Hg1 Hg 0.0000 0.0000 0.5000
Hg2 Hg 0.5000 0.5000 0.1352
```